VASP calculation (PBE) on a relaxed MgNpNi2P2 crystal.

Results
formation energy	-0.679	eV per atom
density of states at the Fermi level	7.1	states/eV/cell

Cell lengths 3.882, 3.882, 7.092 Å; angles 90.00, 90.00, 120.00 degrees
Fractional positions:
1 Mg 0.000 0.000 0.000
2 Np 0.000 0.000 0.500
3 Ni 0.333 0.667 0.217
4 Ni 0.667 0.333 0.783
5 P 0.333 0.667 0.753
6 P 0.667 0.333 0.247